10
Lattice="5.398 0.005 -0.016 2.694 4.678 -0.016 2.713 1.569 4.808" Properties=species:S:1:pos:R:3 comment="PrTaNi2O6 | Alexandria via LeMat-Bulk | PBE+U | relaxed" rho_g_cm3=7.3 e_tot_ev_per_cell=-74.07 space_group="R3 (146)" pbc="T T T"
Pr 8.103 4.688 2.919
Ta 2.698 1.562 0.253
Ni 5.402 3.126 2.104
Ni 2.712 1.569 4.586
O 4.484 1.521 1.080
O 4.468 4.718 1.075
O 7.244 3.133 1.069
O 5.923 4.537 3.621
O 6.369 1.977 3.624
O 3.929 2.871 3.630